# Cs3SiOs

A relaxed Cs3SiOs crystal (PBE, the Alexandria database).

Properties
Fermi-level density of states in states/eV/atom: 0.62
Formation energy (no corrections) in eV per atom: 1.45

```
data_Cs3SiOs
_cell_length_a 6.072
_cell_length_b 6.072
_cell_length_c 6.072
_cell_angle_alpha 90.00
_cell_angle_beta 90.00
_cell_angle_gamma 90.00
_symmetry_space_group_name_H-M 'P m -3 m'
_symmetry_Int_Tables_number 221
_symmetry_space_group_name_Hall '-P 4 2 3'
loop_
_atom_site_label
_atom_site_type_symbol
_atom_site_fract_x
_atom_site_fract_y
_atom_site_fract_z
_atom_site_occupancy
Cs1 Cs 0.000 0.000 0.500 1
Si1 Si 0.500 0.500 0.500 1
Os1 Os 0.000 0.000 0.000 1
```